13
Lattice="-1.407 1.248 5.055 4.527 -2.533 2.139 4.673 2.998 0.814" Properties=species:S:1:pos:R:3 comment="Mn3Ga2O8 (PBE+U, optimized geometry)" mass_density_g_cm3=4.8 e_tot_ev_per_atom=-6.862 pbc="T T T"
Mn 0.000 0.000 0.000
Mn 3.860 -0.520 4.334
Mn 3.933 2.233 3.674
Ga 5.181 1.485 6.768
Ga 2.612 0.228 1.240
O -0.112 0.882 3.671
O 7.906 0.831 4.337
O 3.112 0.633 2.987
O 4.681 1.080 5.021
O 2.180 2.781 5.180
O 2.101 -0.239 5.903
O 5.693 1.952 2.105
O 5.613 -1.068 2.828